(1)
DFT (PBE) results for crystalline LaSbIr2 at its relaxed geometry.

- SG = C2/m
- total moment (μB per atom) = 0.000
- Fermi-level density of states (states/eV/f.u.) = 1.96
- final energy (eV/atom) = -7.166

```
LaSbIr2
1.0
3.9175 -2.2602 0.0000
3.9175 2.2602 0.0000
-2.6202 0.0000 5.0793
La Sb Ir
1 1 2
Direct
0.0000 0.0000 0.0000
0.5000 0.5000 0.5000
0.2052 0.2052 0.6154
0.7948 0.7948 0.3846
```

---

(2)
DFT (PBE) results for crystalline LaPuS2 at its relaxed geometry.

- SG = R-3m
- total moment (μB per atom) = 1.427
- Fermi-level density of states (states/eV/f.u.) = 7.65
- final energy (eV/atom) = -8.844

```
LaPuS2
1.0
2.0217 1.1672 6.6798
-2.0217 1.1672 6.6798
0.0000 -2.3344 6.6798
La Pu S
1 1 2
Direct
0.0000 0.0000 0.0000
0.5000 0.5000 0.5000
0.2448 0.2448 0.2448
0.7552 0.7552 0.7552
```

---

(3)
DFT (PBE) results for crystalline Sr5CaBi4 at its relaxed geometry.

- DFT formation energy (eV/atom) = -0.821
- SG = C2/m
- total moment (μB per atom) = 0.000
- Fermi-level density of states (states/eV/f.u.) = 0.69
- final energy (eV/atom) = -3.415

```
Sr5CaBi4
1.0
9.1442 -2.6981 0.0000
9.1442 2.6981 0.0000
-0.4025 0.0000 8.3671
Sr Ca Bi
5 1 4
Direct
0.0000 0.0000 0.0000
0.3365 0.3365 0.9968
0.3429 0.3429 0.5172
0.6571 0.6571 0.4828
0.6635 0.6635 0.0032
0.0000 0.0000 0.5000
0.1880 0.1880 0.2470
0.4803 0.4803 0.2575
0.5197 0.5197 0.7425
0.8120 0.8120 0.7530
```

---

(4)
DFT (PBE) results for crystalline Er4MgPt at its relaxed geometry.

- DFT formation energy (eV/atom) = -0.055
- SG = I4_1md
- total moment (μB per atom) = 0.000
- Fermi-level density of states (states/eV/f.u.) = 9.08
- final energy (eV/atom) = -4.369

```
Er4MgPt
1.0
-4.5845 4.5845 4.7237
4.5845 -4.5845 4.7237
4.5845 4.5845 -4.7237
Er Mg Pt
8 2 2
Direct
0.1303 0.4472 0.6831
0.1972 0.0141 0.8169
0.1972 0.3803 0.1831
0.3001 0.0000 0.3001
0.6999 0.0000 0.6999
0.7500 0.5501 0.8001
0.7500 0.9499 0.1999
0.7641 0.4472 0.3169
0.2296 0.7296 0.5000
0.4796 0.4796 0.0000
0.7209 0.2209 0.5000
0.9709 0.9709 0.0000
```

---

Question: Look up the Fermi-level density of states of the second one.
Answer: 7.65 states/eV/f.u.

---

Question: The lowest Fermi-level density of states belongs to which entry?
Answer: Sr5CaBi4